Ca2HfMnO6 | PBE+U | optimized geometry

Cell lengths 5.465, 5.570, 9.487 Å; angles 90.00, 124.85, 90.00 degrees
Space group P2_1/c (No. 14)
One atom of each set of equivalent atoms:
Ca 0.238 0.045 0.249 (multiplicity 4)
Hf 0.500 0.000 0.000 (multiplicity 2)
Mn 0.000 0.000 0.500 (multiplicity 2)
O 0.153 0.216 0.956 (multiplicity 4)
O 0.240 0.701 0.956 (multiplicity 4)
O 0.326 0.024 0.741 (multiplicity 4)

Its density of states at the Fermi level is 0.0 states/eV per cell. The value obtained for the energy is -157.16 eV per cell.



CaHfMn2O6 | PBE+U | optimized geometry

Cell lengths 5.3521, 5.3521, 14.5515 Å; angles 90.00, 90.00, 120.00 degrees
Space group R3 (No. 146, hexagonal axes)
One atom of each set of equivalent atoms:
Ca 0.0000 0.0000 0.0000 (multiplicity 3)
Hf 0.0000 0.0000 0.4828 (multiplicity 3)
Mn 0.0000 0.0000 0.2744 (multiplicity 3)
Mn 0.0000 0.0000 0.7865 (multiplicity 3)
O 0.0061 0.3027 0.8714 (multiplicity 9)
O 0.0098 0.5962 0.0503 (multiplicity 9)

The value obtained for the energy is -243.29 eV per cell.



Among the records above, which one has the highest energy?
Ca2HfMnO6



Number 2 is which compound?
CaHfMn2O6



Which of these has the highest energy?
Ca2HfMnO6